Record 1
This record from the Alexandria database describes BaAs3Pd after structural relaxation. The functional is PBEsol.

Geometry as POSCAR:
```
BaAs3Pd
1.0
5.572 0.000 0.000
0.000 5.572 0.000
0.000 0.000 5.572
Ba As Pd
1 3 1
Direct
0.000 0.000 0.000 Ba
0.000 0.000 0.500 As
0.000 0.500 0.000 As
0.500 0.000 0.000 As
0.500 0.500 0.500 Pd
```

* raw total energy: -15.2 eV/cell
* SG: No. 221
* total magnetic moment: 0.0 μB/f.u.
* energy relative to the elements: 1.6515 eV/atom
* crystal system: cubic

Record 2
This record from the Alexandria database describes LiSi2Tc2 after structural relaxation. The functional is PBEsol.

Geometry as POSCAR:
```
LiSi2Tc2
1.0
6.540 0.000 0.000
0.000 6.540 0.000
0.000 0.000 3.084
Li Si Tc
2 4 4
Direct
0.000 0.000 0.000 Li
0.500 0.500 0.000 Li
0.137 0.363 0.000 Si
0.363 0.863 0.000 Si
0.637 0.137 0.000 Si
0.863 0.637 0.000 Si
0.158 0.658 0.500 Tc
0.342 0.158 0.500 Tc
0.658 0.842 0.500 Tc
0.842 0.342 0.500 Tc
```

* raw total energy: -76.4 eV/cell
* SG: No. 127
* total magnetic moment: 0.0 μB/f.u.
* crystal system: tetragonal
* formation energy (no corrections): -214 kJ/mol of formula units

Record 3
This record from the Alexandria database describes Zn3OsPt after structural relaxation. The functional is PBEsol.

Geometry as POSCAR:
```
Zn3OsPt
1.0
4.584 0.000 0.000
0.000 4.584 0.000
0.000 0.000 4.584
Zn Os Pt
3 1 1
Direct
0.000 0.000 0.500 Zn
0.000 0.500 0.000 Zn
0.500 0.000 0.000 Zn
0.500 0.500 0.500 Os
0.000 0.000 0.000 Pt
```

* raw total energy: -17.9 eV/cell
* SG: No. 221
* total magnetic moment: 2.1 μB/f.u.
* energy relative to the elements: 1.2020 eV/atom
* crystal system: cubic

Record 4
This record from the Alexandria database describes Zr2InPt after structural relaxation. The functional is PBEsol.

Geometry as POSCAR:
```
Zr2InPt
1.0
3.078 0.000 0.000
0.000 3.078 0.000
0.000 0.000 8.209
Zr In Pt
2 1 1
Direct
0.000 0.000 0.227 Zr
0.000 0.000 0.773 Zr
0.500 0.500 0.500 In
0.500 0.500 0.000 Pt
```

* raw total energy: -30.8 eV/cell
* SG: No. 123
* total magnetic moment: 0.0 μB/f.u.
* energy relative to the elements: -0.6668 eV/atom
* crystal system: tetragonal

Record 5
This record from the Alexandria database describes MgReOs2 after structural relaxation. The functional is PBEsol.

Geometry as POSCAR:
```
MgReOs2
1.0
1.435 -2.297 0.000
1.435 2.297 0.000
0.000 0.000 9.021
Mg Re Os
1 1 2
Direct
0.000 0.000 0.000 Mg
0.000 0.000 0.500 Re
0.500 0.500 0.256 Os
0.500 0.500 0.744 Os
```

* raw total energy: -37.8 eV/cell
* SG: No. 65
* total magnetic moment: 0.0 μB/f.u.
* energy relative to the elements: 0.4175 eV/atom
* crystal system: orthorhombic

Record 6
This record from the Alexandria database describes HoSbPt after structural relaxation. The functional is PBEsol.

Geometry as POSCAR:
```
HoSbPt
1.0
0.000 3.250 3.250
3.250 0.000 3.250
3.250 3.250 0.000
Ho Sb Pt
1 1 1
Direct
0.000 0.000 0.000 Ho
0.500 0.500 0.500 Sb
0.250 0.250 0.250 Pt
```

* raw total energy: -20.2 eV/cell
* SG: No. 216
* total magnetic moment: 0.0 μB/f.u.
* crystal system: cubic
* formation energy (no corrections): -358 kJ/mol of formula units

Record 7
This record from the Alexandria database describes Na2MgTiFe after structural relaxation. The functional is PBEsol.

Geometry as POSCAR:
```
Na2MgTiFe
1.0
5.410 0.000 0.000
0.000 5.410 0.000
0.000 0.000 4.193
Na Mg Ti Fe
2 1 1 1
Direct
0.000 0.500 0.000 Na
0.500 0.000 0.000 Na
0.000 0.000 0.500 Mg
0.500 0.500 0.500 Ti
0.500 0.500 0.000 Fe
```

* raw total energy: -17.7 eV/cell
* SG: No. 123
* total magnetic moment: 0.5 μB/f.u.
* energy relative to the elements: 0.8227 eV/atom
* crystal system: tetragonal

Record 8
This record from the Alexandria database describes BeMoIr after structural relaxation. The functional is PBEsol.

Geometry as POSCAR:
```
BeMoIr
1.0
-1.393 1.393 4.755
1.393 -1.393 4.755
1.393 1.393 -4.755
Be Mo Ir
1 1 1
Direct
0.000 0.000 0.000 Be
0.327 0.327 0.000 Mo
0.635 0.635 0.000 Ir
```

* raw total energy: -26.7 eV/cell
* SG: No. 107
* total magnetic moment: 0.0 μB/f.u.
* energy relative to the elements: -0.3572 eV/atom
* crystal system: tetragonal

Record 9
This record from the Alexandria database describes Zr2FeRe after structural relaxation. The functional is PBEsol.

Geometry as POSCAR:
```
Zr2FeRe
1.0
0.000 3.205 3.205
3.205 0.000 3.205
3.205 3.205 0.000
Zr Fe Re
2 1 1
Direct
0.250 0.250 0.250 Zr
0.750 0.750 0.750 Zr
0.000 0.000 0.000 Fe
0.500 0.500 0.500 Re
```

* raw total energy: -41.3 eV/cell
* SG: No. 225
* total magnetic moment: 0.3 μB/f.u.
* energy relative to the elements: -0.2023 eV/atom
* crystal system: cubic

Record 10
This record from the Alexandria database describes In7Hg6 after structural relaxation. The functional is PBEsol.

Geometry as POSCAR:
```
In7Hg6
1.0
3.126 1.805 9.783
-3.126 1.805 9.783
0.000 -3.609 9.783
In Hg
7 6
Direct
0.000 0.000 0.000 In
0.088 0.088 0.577 In
0.088 0.577 0.088 In
0.423 0.912 0.912 In
0.577 0.088 0.088 In
0.912 0.423 0.912 In
0.912 0.912 0.423 In
0.165 0.165 0.165 Hg
0.347 0.347 0.347 Hg
0.451 0.451 0.451 Hg
0.549 0.549 0.549 Hg
0.653 0.653 0.653 Hg
0.835 0.835 0.835 Hg
```

* raw total energy: -23.5 eV/cell
* SG: No. 166
* total magnetic moment: 0.0 μB/f.u.
* energy relative to the elements: 0.0597 eV/atom
* crystal system: trigonal

Record 11
This record from the Alexandria database describes KBaPt4 after structural relaxation. The functional is PBEsol.

Geometry as POSCAR:
```
KBaPt4
1.0
0.000 3.903 3.903
3.903 0.000 3.903
3.903 3.903 0.000
K Ba Pt
1 1 4
Direct
0.000 0.000 0.000 K
0.250 0.250 0.250 Ba
0.124 0.625 0.625 Pt
0.625 0.124 0.625 Pt
0.625 0.625 0.124 Pt
0.625 0.625 0.625 Pt
```

* raw total energy: -34.0 eV/cell
* SG: No. 216
* total magnetic moment: 0.0 μB/f.u.
* energy relative to the elements: -0.4780 eV/atom
* crystal system: cubic

Record 12
This record from the Alexandria database describes LaSnSe2N after structural relaxation. The functional is PBEsol.

Geometry as POSCAR:
```
LaSnSe2N
1.0
5.764 0.000 0.000
0.000 5.764 0.000
0.000 0.000 4.097
La Sn Se N
1 1 2 1
Direct
0.000 0.000 0.000 La
0.500 0.500 0.500 Sn
0.000 0.500 0.000 Se
0.500 0.000 0.000 Se
0.000 0.000 0.500 N
```

* raw total energy: -25.8 eV/cell
* SG: No. 123
* total magnetic moment: 0.8 μB/f.u.
* crystal system: tetragonal
* formation energy (no corrections): 5 kJ/mol of formula units